[1]
Entry from the Alexandria database: a relaxed YCdHgGe crystal (PBE).

Structure (extended XYZ):
```
4
Lattice="5.0677 0.0000 0.0000 2.5339 4.3888 0.0000 2.5339 1.4629 4.1378" Properties=species:S:1:pos:R:3 pbc="T T T"
Y 5.0677 2.9259 2.0689
Ge 2.5339 1.4629 1.0344
Hg 7.6016 4.3888 3.1033
Cd 0.0000 0.0000 0.0000
```

Summary:
Final energy ... -3.342 eV per atom
SG ... F-43m, No. 216

---

[2]
Entry from the Alexandria database: a relaxed UBeTl2Se5 crystal (PBE).

Structure (extended XYZ):
```
18
Lattice="4.0398 0.0000 0.0000 -2.0199 9.1849 0.0000 0.0000 0.0000 13.9361" Properties=species:S:1:pos:R:3 pbc="T T T"
U 2.0199 5.5821 7.3335
U 0.0000 3.6028 0.3655
Be 2.0199 1.3056 12.8618
Be 0.0000 7.8793 5.8938
Tl 2.0199 7.2154 11.6748
Tl 0.0000 1.9558 9.4434
Tl 0.0000 1.9695 4.7068
Tl 2.0199 7.2291 2.4754
Se 0.0000 6.2154 0.1623
Se 2.0199 3.5328 12.3876
Se 2.0199 0.1967 10.9894
Se 0.0000 5.5092 9.1788
Se 2.0199 8.2868 7.1315
Se 2.0199 2.9695 7.1303
Se 0.0000 5.6521 5.4196
Se 0.0000 8.9882 4.0214
Se 2.0199 3.6758 2.2108
Se 0.0000 0.8981 0.1634
```

Summary:
Formation energy (no corrections) ... -0.678 eV per atom
SG ... Cmc2_1, No. 36

---

[3]
Entry from the Alexandria database: a relaxed LiYZnCl6 crystal (PBE).

Structure (extended XYZ):
```
18
Lattice="6.5146 0.0000 0.0000 -3.2573 5.6418 0.0000 0.0000 0.0000 11.8723" Properties=species:S:1:pos:R:3 pbc="T T T"
Li 0.0000 0.0000 0.0000
Li 0.0000 0.0000 5.9362
Y 0.0000 3.7612 2.9681
Y 3.2573 1.8806 8.9042
Zn 3.2573 1.8806 2.9681
Zn 0.0000 3.7612 8.9042
Cl 2.2285 3.6498 1.5265
Cl 5.3039 1.8870 1.5265
Cl -1.0178 5.5368 7.4627
Cl -2.0466 3.7548 10.3458
Cl 1.2107 1.8870 4.4096
Cl 4.2861 3.6498 4.4096
Cl 1.0178 5.5368 10.3458
Cl 4.2751 0.1050 4.4096
Cl -1.0288 1.9920 7.4627
Cl 2.2395 0.1050 1.5265
Cl 2.0466 3.7548 7.4627
Cl 1.0288 1.9920 10.3458
```

Summary:
Formation energy (no corrections) ... -1.735 eV per atom
SG ... P-31c, No. 163

---

[4]
Entry from the Alexandria database: a relaxed LiEuPuIn crystal (PBE).

Structure (extended XYZ):
```
4
Lattice="-0.4128 -1.7660 -4.9681 1.0558 -5.0636 -1.1028 -3.9230 -3.2927 -1.3187" Properties=species:S:1:pos:R:3 pbc="T T T"
Eu -0.8200 -2.5306 -1.8474
In -2.4600 -7.5918 -5.5422
Li 0.0000 0.0000 0.0000
Pu -1.6400 -5.0612 -3.6948
```

Summary:
Final energy ... -7.257 eV per atom
SG ... F-43m, No. 216

---

Question: Number 2 is which compound?
Answer: UBeTl2Se5